# 1
# Fe2HgRu

An optimized crystal structure of Fe2HgRu (PBE, Alexandria via LeMat-Bulk).

```
data_Fe2HgRu
_chemical_formula_sum 'Fe4 Hg2 Ru2'
_symmetry_space_group_name_H-M 'P 1'
_symmetry_Int_Tables_number 1
_symmetry_space_group_name_Hall 'P 1'
_cell_length_a 3.2576
_cell_length_b 4.3987
_cell_length_c 8.4970
_cell_angle_alpha 90.00
_cell_angle_beta 90.00
_cell_angle_gamma 90.00
loop_
_atom_site_label
_atom_site_fract_x
_atom_site_fract_y
_atom_site_fract_z
Fe1 0.0000 0.0000 0.2285
Fe2 0.0000 0.0000 0.7715
Fe3 0.5000 0.5000 0.2285
Fe4 0.5000 0.5000 0.7715
Hg1 0.0000 0.5000 0.5000
Hg2 0.5000 0.0000 0.5000
Ru1 0.0000 0.5000 0.0000
Ru2 0.5000 0.0000 0.0000
```

Summary:
- crystal system = orthorhombic
- space group = Cmmm (65)
- energy relative to the elements (eV per atom) = 0.458
- calculated density (Mg/m³) = 11.3



# 2
# ErSn2P2Pt7

An optimized crystal structure of ErSn2P2Pt7 (PBE, Alexandria via LeMat-Bulk).

```
data_ErSn2P2Pt7
_chemical_formula_sum 'Er1 Sn2 P2 Pt7'
_symmetry_space_group_name_H-M 'P 1'
_symmetry_Int_Tables_number 1
_symmetry_space_group_name_Hall 'P 1'
_cell_length_a 3.9345
_cell_length_b 3.9345
_cell_length_c 15.2893
_cell_angle_alpha 97.35
_cell_angle_beta 97.35
_cell_angle_gamma 89.98
loop_
_atom_site_label
_atom_site_fract_x
_atom_site_fract_y
_atom_site_fract_z
Er1 0.0000 0.0000 0.0000
Sn1 0.2126 0.2126 0.4251
Sn2 0.7874 0.7874 0.5749
P1 0.3826 0.3826 0.7650
P2 0.6174 0.6174 0.2350
Pt1 0.0730 0.5727 0.1465
Pt2 0.3050 0.3050 0.6115
Pt3 0.4273 0.9270 0.8535
Pt4 0.5000 0.5000 0.0000
Pt5 0.5727 0.0730 0.1465
Pt6 0.6950 0.6950 0.3885
Pt7 0.9270 0.4273 0.8535
```

Summary:
- crystal system = monoclinic
- space group = C2/m (12)
- energy relative to the elements (eV per atom) = -0.717
- calculated density (Mg/m³) = 13.1



# 3
# ScCd2Au3

An optimized crystal structure of ScCd2Au3 (PBE, Alexandria via LeMat-Bulk).

```
data_ScCd2Au3
_chemical_formula_sum 'Sc2 Cd4 Au6'
_symmetry_space_group_name_H-M 'P 1'
_symmetry_Int_Tables_number 1
_symmetry_space_group_name_Hall 'P 1'
_cell_length_a 4.7819
_cell_length_b 4.7819
_cell_length_c 11.7973
_cell_angle_alpha 90.00
_cell_angle_beta 90.00
_cell_angle_gamma 120.00
loop_
_atom_site_label
_atom_site_fract_x
_atom_site_fract_y
_atom_site_fract_z
Sc1 0.3333 0.6667 0.1635
Sc2 0.6667 0.3333 0.8365
Cd1 0.0000 0.0000 0.0000
Cd2 0.0000 0.0000 0.5000
Cd3 0.3333 0.6667 0.6671
Cd4 0.6667 0.3333 0.3329
Au1 0.0000 0.0000 0.2481
Au2 0.0000 0.0000 0.7519
Au3 0.3333 0.6667 0.4087
Au4 0.3333 0.6667 0.9161
Au5 0.6667 0.3333 0.0839
Au6 0.6667 0.3333 0.5913
```

Summary:
- crystal system = trigonal
- space group = P-3m1 (164)
- energy relative to the elements (eV per atom) = -0.447
- calculated density (Mg/m³) = 12.2



# 4
# YErHgRh

An optimized crystal structure of YErHgRh (PBE, Alexandria via LeMat-Bulk).

```
data_YErHgRh
_chemical_formula_sum 'Y4 Er4 Hg4 Rh4'
_symmetry_space_group_name_H-M 'P 1'
_symmetry_Int_Tables_number 1
_symmetry_space_group_name_Hall 'P 1'
_cell_length_a 7.1201
_cell_length_b 7.1201
_cell_length_c 7.1201
_cell_angle_alpha 90.00
_cell_angle_beta 90.00
_cell_angle_gamma 90.00
loop_
_atom_site_label
_atom_site_fract_x
_atom_site_fract_y
_atom_site_fract_z
Y1 0.0000 0.0000 0.0000
Y2 0.0000 0.5000 0.5000
Y3 0.5000 0.0000 0.5000
Y4 0.5000 0.5000 0.0000
Er1 0.0000 0.0000 0.5000
Er2 0.0000 0.5000 0.0000
Er3 0.5000 0.0000 0.0000
Er4 0.5000 0.5000 0.5000
Hg1 0.2500 0.2500 0.7500
Hg2 0.2500 0.7500 0.2500
Hg3 0.7500 0.2500 0.2500
Hg4 0.7500 0.7500 0.7500
Rh1 0.2500 0.2500 0.2500
Rh2 0.2500 0.7500 0.7500
Rh3 0.7500 0.2500 0.7500
Rh4 0.7500 0.7500 0.2500
```

Summary:
- crystal system = cubic
- space group = F-43m (216)
- energy relative to the elements (eV per atom) = -0.627
- calculated density (Mg/m³) = 10.3



# 5
# YHoNi2

An optimized crystal structure of YHoNi2 (PBE, Alexandria via LeMat-Bulk).

```
data_YHoNi2
_chemical_formula_sum 'Y4 Ho4 Ni8'
_symmetry_space_group_name_H-M 'P 1'
_symmetry_Int_Tables_number 1
_symmetry_space_group_name_Hall 'P 1'
_cell_length_a 6.7551
_cell_length_b 6.7551
_cell_length_c 6.7551
_cell_angle_alpha 90.00
_cell_angle_beta 90.00
_cell_angle_gamma 90.00
loop_
_atom_site_label
_atom_site_fract_x
_atom_site_fract_y
_atom_site_fract_z
Y1 0.0000 0.0000 0.0000
Y2 0.0000 0.5000 0.5000
Y3 0.5000 0.0000 0.5000
Y4 0.5000 0.5000 0.0000
Ho1 0.0000 0.0000 0.5000
Ho2 0.0000 0.5000 0.0000
Ho3 0.5000 0.0000 0.0000
Ho4 0.5000 0.5000 0.5000
Ni1 0.2500 0.2500 0.2500
Ni2 0.2500 0.2500 0.7500
Ni3 0.2500 0.7500 0.2500
Ni4 0.2500 0.7500 0.7500
Ni5 0.7500 0.2500 0.2500
Ni6 0.7500 0.2500 0.7500
Ni7 0.7500 0.7500 0.2500
Ni8 0.7500 0.7500 0.7500
```

Summary:
- crystal system = cubic
- space group = Fm-3m (225)
- energy relative to the elements (eV per atom) = -0.386
- calculated density (Mg/m³) = 8.0



# 6
# CsSrPuBr6

An optimized crystal structure of CsSrPuBr6 (PBE, Alexandria via LeMat-Bulk).

```
data_CsSrPuBr6
_chemical_formula_sum 'Cs2 Sr2 Pu2 Br12'
_symmetry_space_group_name_H-M 'P 1'
_symmetry_Int_Tables_number 1
_symmetry_space_group_name_Hall 'P 1'
_cell_length_a 7.8705
_cell_length_b 7.8705
_cell_length_c 15.5082
_cell_angle_alpha 90.00
_cell_angle_beta 90.00
_cell_angle_gamma 120.00
loop_
_atom_site_label
_atom_site_fract_x
_atom_site_fract_y
_atom_site_fract_z
Cs1 0.0000 0.0000 0.0000
Cs2 0.0000 0.0000 0.5000
Sr1 0.3333 0.6667 0.2500
Sr2 0.6667 0.3333 0.7500
Pu1 0.3333 0.6667 0.7500
Pu2 0.6667 0.3333 0.2500
Br1 0.0169 0.3845 0.6427
Br2 0.0169 0.6324 0.8573
Br3 0.3676 0.3845 0.8573
Br4 0.3676 0.9831 0.6427
Br5 0.3845 0.0169 0.1427
Br6 0.3845 0.3676 0.3573
Br7 0.6155 0.6324 0.6427
Br8 0.6155 0.9831 0.8573
Br9 0.6324 0.0169 0.3573
Br10 0.6324 0.6155 0.1427
Br11 0.9831 0.3676 0.1427
Br12 0.9831 0.6155 0.3573
```

Summary:
- crystal system = trigonal
- space group = P-31c (163)
- calculated density (Mg/m³) = 3.8
- formation energy from raw total energies (meV per atom) = -1807



# 7
# SrLa2MgIr

An optimized crystal structure of SrLa2MgIr (PBE, Alexandria via LeMat-Bulk).

```
data_SrLa2MgIr
_chemical_formula_sum 'Sr1 La2 Mg1 Ir1'
_symmetry_space_group_name_H-M 'P 1'
_symmetry_Int_Tables_number 1
_symmetry_space_group_name_Hall 'P 1'
_cell_length_a 5.9116
_cell_length_b 5.9116
_cell_length_c 4.7801
_cell_angle_alpha 90.00
_cell_angle_beta 90.00
_cell_angle_gamma 90.00
loop_
_atom_site_label
_atom_site_fract_x
_atom_site_fract_y
_atom_site_fract_z
Sr1 0.0000 0.0000 0.0000
La1 0.0000 0.5000 0.5000
La2 0.5000 0.0000 0.5000
Mg1 0.5000 0.5000 0.5000
Ir1 0.5000 0.5000 0.0000
```

Summary:
- crystal system = tetragonal
- space group = P4/mmm (123)
- energy relative to the elements (eV per atom) = 0.473
- calculated density (Mg/m³) = 5.8



# 8
# PrGdGe2

An optimized crystal structure of PrGdGe2 (PBE, Alexandria via LeMat-Bulk).

```
data_PrGdGe2
_chemical_formula_sum 'Pr1 Gd1 Ge2'
_symmetry_space_group_name_H-M 'P 1'
_symmetry_Int_Tables_number 1
_symmetry_space_group_name_Hall 'P 1'
_cell_length_a 4.8437
_cell_length_b 4.8437
_cell_length_c 4.1365
_cell_angle_alpha 90.00
_cell_angle_beta 90.00
_cell_angle_gamma 90.00
loop_
_atom_site_label
_atom_site_fract_x
_atom_site_fract_y
_atom_site_fract_z
Pr1 0.0000 0.0000 0.0000
Gd1 0.5000 0.5000 0.0000
Ge1 0.0000 0.5000 0.5000
Ge2 0.5000 0.0000 0.5000
```

Summary:
- crystal system = tetragonal
- space group = P4/mmm (123)
- energy relative to the elements (eV per atom) = -0.634
- calculated density (Mg/m³) = 7.6